# PBE ZnSi2Cl, optimized geometry
data_ZnSi2Cl
_chemical_formula_sum 'Zn1 Si2 Cl1'
_cell_length_a 4.946
_cell_length_b 4.946
_cell_length_c 2.838
_cell_angle_alpha 90.00
_cell_angle_beta 90.00
_cell_angle_gamma 90.00
_space_group_name_H-M_alt 'P 4/m m m'
_space_group_IT_number 123
_space_group_name_Hall '-P 4 2'
loop_
_atom_site_label
_atom_site_type_symbol
_atom_site_fract_x
_atom_site_fract_y
_atom_site_fract_z
Zn1 Zn 0.000 0.000 0.000
Si1 Si 0.000 0.500 0.500
Cl1 Cl 0.500 0.500 0.000
# - calculated volume (Å³/atom) = 17.36
# - size of the total moment (μB/cell) = 0.000
# - formation energy (no corrections) (meV per atom) = 472